Material: KTaSb2
Method: DFT, GGA-PBE
State: optimized geometry

Lattice parameters (Å, degrees): 3.083 5.690 5.690 90.00 90.00 90.00
Each line ends with the local moment (μB).
Fractional coordinates of all 4 atoms:
K 0.500 0.000 0.500  0.00
Sb 0.000 0.000 0.000  -0.01
Sb 0.000 0.500 0.500  -0.01
Ta 0.500 0.500 0.000  0.31

Values from the calculation:
- E above lowest polymorph (eV per atom) = 0.588
- symmetry = No. 123